Entry 1:
First-principles (PBE) data for an optimized crystal structure of CsIBr4, as listed in the Alexandria database.

Calculated values
E_tot in Ry per atom: -0.161
Uncorrected formation energy in eV/atom: -0.677

Cell: 6.5772 7.6794 11.7131 Å, 100.28 90.00 115.36°
Closest atoms and distances in Å follow each position.
Atoms (fractional coordinates):
Cs 0.2426 0.0000 0.2500  10 Br 3.85-4.09
Cs 0.7574 0.0000 0.7500  10 Br 3.85-4.09
I 0.5000 0.5000 0.0000  4 Br 2.71
I 0.0000 0.5000 0.5000  4 Br 2.71
Br 0.1831 0.4643 0.1542  1 I 2.71
Br 0.7188 0.5357 0.3458  1 I 2.71
Br 0.8169 0.5357 0.8458  1 I 2.71
Br 0.2812 0.4643 0.6542  1 I 2.71
Br 0.1999 0.8959 0.5720  1 I 2.71
Br 0.3040 0.1041 0.9280  1 I 2.71
Br 0.8001 0.1041 0.4280  1 I 2.71
Br 0.6960 0.8959 0.0720  1 I 2.71

---

Entry 2:
First-principles (PBE) data for an optimized crystal structure of CsI2Br, as listed in the Alexandria database.

Calculated values
E_tot in Ry per atom: -0.170
Uncorrected formation energy in eV/atom: -0.910

Cell: 6.9390 10.0435 11.1045 Å, 90.00 90.00 90.00°
Closest atoms and distances in Å follow each position.
Atoms (fractional coordinates):
Cs 0.2500 0.0514 0.6697  4 Br 3.75-3.88, 4 I 4.10-4.11
Cs 0.7500 0.9486 0.3303  4 Br 3.75-3.88, 4 I 4.10-4.11
Cs 0.7500 0.5514 0.8303  4 Br 3.75-3.88, 4 I 4.10-4.11
Cs 0.2500 0.4486 0.1697  4 Br 3.75-3.88, 4 I 4.10-4.11
I 0.2500 0.5562 0.6330  1 I 2.86, 1 Br 2.86
I 0.7500 0.4438 0.3670  1 I 2.86, 1 Br 2.86
I 0.7500 0.0562 0.8670  1 I 2.86, 1 Br 2.86
I 0.2500 0.9438 0.1330  1 I 2.86, 1 Br 2.86
I 0.2500 0.7361 0.4333  1 I 2.86
I 0.7500 0.2639 0.5667  1 I 2.86
I 0.7500 0.2361 0.0667  1 I 2.86
I 0.2500 0.7639 0.9333  1 I 2.86
Br 0.2500 0.1225 0.3336  1 I 2.86
Br 0.7500 0.8775 0.6664  1 I 2.86
Br 0.7500 0.6225 0.1664  1 I 2.86
Br 0.2500 0.3775 0.8336  1 I 2.86

---

Entry 3:
First-principles (PBE) data for an optimized crystal structure of Cs2IBr6, as listed in the Alexandria database.

Calculated values
E_tot in Ry per atom: -0.165
Uncorrected formation energy in eV/atom: -0.765

Cell: 7.8939 7.8939 7.8939 Å, 60.00 60.00 60.00°
Closest atoms and distances in Å follow each position.
Atoms (fractional coordinates):
Cs 0.2500 0.2500 0.2500  12 Br 3.95
Cs 0.7500 0.7500 0.7500  12 Br 3.95
I 0.0000 0.0000 0.0000  6 Br 2.83
Br 0.2537 0.7463 0.7463  1 I 2.83
Br 0.2537 0.7463 0.2537  1 I 2.83
Br 0.7463 0.2537 0.7463  1 I 2.83
Br 0.7463 0.2537 0.2537  1 I 2.83
Br 0.7463 0.7463 0.2537  1 I 2.83
Br 0.2537 0.2537 0.7463  1 I 2.83

---

Entry 4:
First-principles (PBE) data for an optimized crystal structure of Cs2I3Br6, as listed in the Alexandria database.

Calculated values
E_tot in Ry per atom: -0.159
Uncorrected formation energy in eV/atom: -0.680

Cell: 7.5846 8.9952 17.5045 Å, 79.43 77.49 65.06°
Closest atoms and distances in Å follow each position.
Atoms (fractional coordinates):
Cs 0.3834 0.8432 0.9295  7 Br 3.68-3.90
Cs 0.8439 0.3432 0.4295  7 Br 3.68-3.90
Cs 0.6166 0.1568 0.0705  7 Br 3.68-3.90
Cs 0.1561 0.6568 0.5705  7 Br 3.68-3.90
I 0.9922 0.9763 0.7536  2 Br 2.70-2.73
I 0.4147 0.2500 0.7500  2 Br 2.68
I 0.7222 0.5237 0.7464  2 Br 2.70-2.73
I 0.2778 0.4763 0.2536  2 Br 2.70-2.73
I 0.0078 0.0237 0.2464  2 Br 2.70-2.73
I 0.5853 0.7500 0.2500  2 Br 2.68
Br 0.8912 0.8730 0.9068  1 I 2.73
Br 0.3141 0.2935 0.9035  1 I 2.68
Br 0.7656 0.4287 0.8989  1 I 2.70
Br 0.3290 0.3730 0.4068  1 I 2.73
Br 0.9068 0.9287 0.3989  1 I 2.70
Br 0.4889 0.7935 0.4035  1 I 2.68
Br 0.1088 0.1270 0.0932  1 I 2.73
Br 0.6859 0.7065 0.0965  1 I 2.68
Br 0.2344 0.5713 0.1011  1 I 2.70
Br 0.6710 0.6270 0.5932  1 I 2.73
Br 0.0932 0.0713 0.6011  1 I 2.70
Br 0.5111 0.2065 0.5965  1 I 2.68

---

Entry 5:
First-principles (PBE) data for an optimized crystal structure of Cs5IBr8, as listed in the Alexandria database.

Calculated values
E_tot in Ry per atom: -0.194
Uncorrected formation energy in eV/atom: -1.265

Cell: 9.5554 9.5554 9.5554 Å, 104.33 112.10 112.10°
Closest atoms and distances in Å follow each position.
Atoms (fractional coordinates):
Cs 0.5787 0.6080 0.7625  5 Br 3.54-3.94
Cs 0.1544 0.9706 0.3920  5 Br 3.54-3.94
Cs 0.4213 0.1838 0.0294  5 Br 3.54-3.94
Cs 0.0000 0.5000 0.5000  4 Br 3.64
Cs 0.8456 0.2375 0.8162  5 Br 3.54-3.94
I 0.5000 0.7500 0.2500  4 Br 2.72
Br 0.2791 0.4840 0.2676  1 I 2.72
Br 0.7836 0.7951 0.5160  1 I 2.72
Br 0.8073 0.5254 0.1049  5 Cs 3.54-3.66
Br 0.5795 0.2819 0.4746  5 Cs 3.54-3.66
Br 0.4205 0.8951 0.7024  5 Cs 3.54-3.66
Br 0.2164 0.7324 0.0115  1 I 2.72
Br 0.7209 0.9885 0.2049  1 I 2.72
Br 0.1927 0.2976 0.7181  5 Cs 3.54-3.66

---

Entry 6:
First-principles (PBE) data for an optimized crystal structure of Cs4I3Br, as listed in the Alexandria database.

Calculated values
E_tot in Ry per atom: -0.208
Uncorrected formation energy in eV/atom: -1.606

Cell: 9.4360 9.5137 10.8997 Å, 90.00 90.00 109.31°
Closest atoms and distances in Å follow each position.
Atoms (fractional coordinates):
Cs 0.9920 0.2447 0.6323  1 Br 3.78, 5 I 3.84-3.98
Cs 0.5019 0.2375 0.8820  2 Br 3.75, 4 I 3.85-3.98
Cs 0.4920 0.2447 0.3677  1 Br 3.78, 5 I 3.84-3.98
Cs 0.0019 0.2375 0.1180  2 Br 3.75, 4 I 3.85-3.98
Cs 0.9981 0.7625 0.8820  2 Br 3.75, 4 I 3.85-3.98
Cs 0.5080 0.7553 0.6323  1 Br 3.78, 5 I 3.84-3.98
Cs 0.4981 0.7625 0.1180  2 Br 3.75, 4 I 3.85-3.98
Cs 0.0080 0.7553 0.3677  1 Br 3.78, 5 I 3.84-3.98
I 0.7500 0.0000 0.3735  6 Cs 3.87-3.89
I 0.2500 0.0000 0.6265  6 Cs 3.87-3.89
I 0.7500 0.5000 0.6259  6 Cs 3.84-3.98
I 0.7500 0.5000 0.1245  6 Cs 3.85-3.98
I 0.2500 0.5000 0.3741  6 Cs 3.84-3.98
I 0.2500 0.5000 0.8755  6 Cs 3.85-3.98
Br 0.7500 0.0000 0.8776  6 Cs 3.75-3.78
Br 0.2500 0.0000 0.1224  6 Cs 3.75-3.78